Compound: K4VO5
Source: the Alexandria database
Functional: GGA+U
Structure: optimized geometry

Calculated values
Uncorrected energy: -5.28 eV/atom

Lattice parameters (Å, degrees): 6.3538 6.3538 6.3538 101.34 101.34 127.34
Closest atoms and distances in Å follow each position.
Sites, in units of the cell vectors:
K  0.0985  0.7070  0.8055  4 O 2.61-2.75
K  0.2930  0.0985  0.3916  4 O 2.61-2.75
K  0.7070  0.9015  0.6084  4 O 2.61-2.75
K  0.9015  0.2930  0.1945  4 O 2.61-2.75
V  0.4474  0.4474  0.0000  5 O 1.73-1.87
O  0.1396  0.1396  0.0000  1 V 1.73
O  0.3102  0.4596  0.7175  1 V 1.87
O  0.4596  0.7421  0.1494  1 V 1.87
O  0.5927  0.3102  0.8506  1 V 1.87
O  0.7421  0.5927  0.2825  1 V 1.87